{"formula": "YIn2IO8", "functional": "PBE-GGA", "state": "optimized geometry", "cell": [[3.459, -3.510, 0.000], [3.459, 3.510, 0.000], [0.000, 0.000, 6.724]], "species": ["Y", "In", "In", "I", "O", "O", "O", "O", "O", "O", "O", "O"], "fractional_positions": [[0.000, 0.000, 0.000], [0.500, 0.500, 0.249], [0.500, 0.500, 0.751], [0.000, 0.000, 0.500], [0.183, 0.817, 0.291], [0.183, 0.817, 0.709], [0.283, 0.283, 0.500], [0.311, 0.311, 0.000], [0.689, 0.689, 0.000], [0.717, 0.717, 0.500], [0.817, 0.183, 0.291], [0.817, 0.183, 0.709]], "m_tot_mub_per_fu": 0.00, "n_ef_per_ev_cell": 1.3, "e_form_raw_ev_per_atom": -1.45, "vol_a3_per_cell": 163.3}